{"formula": "Al2Hg2As", "functional": "PBE", "state": "relaxed", "lattice": [[6.772, 0.000, 0.000], [0.000, 6.772, 0.000], [0.000, 0.000, 4.816]], "species": ["As", "As", "Hg", "Hg", "Hg", "Hg", "Al", "Al", "Al", "Al"], "fractional_positions": [[0.000, 0.000, 0.000], [0.500, 0.500, 0.000], [0.185, 0.685, 0.500], [0.685, 0.815, 0.500], [0.815, 0.315, 0.500], [0.315, 0.185, 0.500], [0.360, 0.860, 0.000], [0.860, 0.640, 0.000], [0.640, 0.140, 0.000], [0.140, 0.360, 0.000]], "formation_energy_ev_per_atom": 0.13, "crystal_system": "tetragonal", "dos_at_fermi_per_ev_fu": 2.8, "m_tot_mub_per_cell": 0.0, "polymorph_energy_ev_per_atom": 0.000}